# PBE HfCoTe2, optimized geometry
# raw total energy = -5.784 eV per atom
# magnetic moment = 3.41 μB per cell
# crystal system = cubic
# E_form (uncorrected) = 0.2 eV/f.u.
data_HfCoTe2
_chemical_formula_sum 'Hf4 Co4 Te8'
_space_group_name_H-M_alt 'P 1'
_space_group_IT_number 1
_space_group_name_Hall 'P 1'
_cell_length_a 6.912
_cell_length_b 6.912
_cell_length_c 6.912
_cell_angle_alpha 90.00
_cell_angle_beta 90.00
_cell_angle_gamma 90.00
loop_
_atom_site_label
_atom_site_type_symbol
_atom_site_fract_x
_atom_site_fract_y
_atom_site_fract_z
Hf1 Hf 0.000 0.000 0.000
Hf2 Hf 0.000 0.500 0.500
Hf3 Hf 0.500 0.000 0.500
Hf4 Hf 0.500 0.500 0.000
Co1 Co 0.000 0.000 0.500
Co2 Co 0.000 0.500 0.000
Co3 Co 0.500 0.000 0.000
Co4 Co 0.500 0.500 0.500
Te1 Te 0.250 0.250 0.250
Te2 Te 0.250 0.250 0.750
Te3 Te 0.250 0.750 0.250
Te4 Te 0.250 0.750 0.750
Te5 Te 0.750 0.250 0.250
Te6 Te 0.750 0.250 0.750
Te7 Te 0.750 0.750 0.250
Te8 Te 0.750 0.750 0.750